Entry 1:
# La2HSe, optimized geometry, DFT GGA-PBE
data_La2HSe
_cell_length_a 4.0080
_cell_length_b 4.0080
_cell_length_c 20.6989
_cell_angle_alpha 90.00
_cell_angle_beta 90.00
_cell_angle_gamma 120.00
_space_group_name_H-M_alt 'R -3 m'
_space_group_IT_number 166
_space_group_name_Hall '-R 3 2"'
loop_
_atom_site_label
_atom_site_fract_x
_atom_site_fract_y
_atom_site_fract_z
La1 0.0000 0.0000 0.2412
H1 0.0000 0.0000 0.5000
Se1 0.0000 0.0000 0.0000
# Density of states at the Fermi level ... 0.65 states/eV/atom
# Excess energy over the best structure of this formula in the dataset ... 0.00 eV/f.u.



Entry 2:
# La3H2Se3, optimized geometry, DFT GGA-PBE
data_La3H2Se3
_cell_length_a 4.104
_cell_length_b 11.234
_cell_length_c 15.026
_cell_angle_alpha 90.00
_cell_angle_beta 90.00
_cell_angle_gamma 90.00
_space_group_name_H-M_alt 'C m c m'
_space_group_IT_number 63
_space_group_name_Hall '-C 2c 2'
loop_
_atom_site_label
_atom_site_fract_x
_atom_site_fract_y
_atom_site_fract_z
La1 0.000 0.139 0.059
La2 0.000 0.152 0.750
H1 0.000 0.263 0.586
Se1 0.000 0.142 0.250
Se2 0.000 0.423 0.100
# Uncorrected energy ... -175.852 eV/cell
# Density of states at the Fermi level ... 0.44 states/eV/atom



Entry 3:
# La2HSe2, optimized geometry, DFT GGA-PBE
data_La2HSe2
_cell_length_a 3.991
_cell_length_b 10.620
_cell_length_c 11.497
_cell_angle_alpha 90.00
_cell_angle_beta 90.00
_cell_angle_gamma 90.00
_space_group_name_H-M_alt 'C m c 21'
_space_group_IT_number 36
_space_group_name_Hall 'C 2c -2'
loop_
_atom_site_label
_atom_site_fract_x
_atom_site_fract_y
_atom_site_fract_z
La1 0.000 0.035 0.000
La2 0.000 0.238 0.247
H1 0.000 0.358 0.619
Se1 0.000 0.052 0.744
Se2 0.000 0.319 0.953
# Uncorrected energy ... -110.589 eV/cell
# Density of states at the Fermi level ... 0.45 states/eV/atom



Entry 4:
# Sr2LaHSe, optimized geometry, DFT GGA-PBE
data_Sr2LaHSe
_cell_length_a 6.610
_cell_length_b 6.610
_cell_length_c 3.905
_cell_angle_alpha 90.00
_cell_angle_beta 90.00
_cell_angle_gamma 90.00
_space_group_name_H-M_alt 'P 4/m m m'
_space_group_IT_number 123
_space_group_name_Hall '-P 4 2'
loop_
_atom_site_label
_atom_site_fract_x
_atom_site_fract_y
_atom_site_fract_z
Sr1 0.000 0.500 0.000
La1 0.000 0.000 0.500
H1 0.500 0.500 0.500
Se1 0.500 0.500 0.000
# Uncorrected energy ... -15.210 eV/cell
# Density of states at the Fermi level ... 1.08 states/eV/atom



Computed V (Å³ per cell) in order:
288.0; 692.7; 487.3; 170.6